The following is a DFT calculation (PBE) of an optimized crystal structure of Dy2PuGe.

Values from the calculation:
Total moment in μB/cell: 6.50
Energy relative to the lowest polymorph listed for this composition in eV/f.u.: 1.172
SG: R-3m

Cell: 3.5145 3.5145 10.9593 Å, 80.77 80.77 60.00°
Fractional positions:
1 Pu 0.0000 0.0000 0.0000
2 Dy 0.8977 0.8977 0.3068
3 Dy 0.1023 0.1023 0.6932
4 Ge 0.5000 0.5000 0.5000

The following is a DFT calculation (PBE) of an optimized crystal structure of Dy3PuGe3.

Values from the calculation:
E in eV per atom: -6.471
Total moment in μB/cell: 10.21
SG: P6_3/m

Cell: 5.7266 8.8694 8.8694 Å, 120.00 90.00 90.00°
Fractional positions:
1 Dy 0.7500 0.3212 0.0148
2 Dy 0.2500 0.3064 0.3212
3 Dy 0.7500 0.6936 0.6788
4 Dy 0.2500 0.0148 0.6936
5 Dy 0.2500 0.6788 0.9852
6 Dy 0.7500 0.9852 0.3064
7 Ge 0.7500 0.9946 0.6470
8 Ge 0.2500 0.0054 0.3530
9 Ge 0.7500 0.6524 0.0054
10 Ge 0.7500 0.3530 0.3476
11 Ge 0.2500 0.6470 0.6524
12 Ge 0.2500 0.3476 0.9946
13 Pu 0.2500 0.6667 0.3333
14 Pu 0.7500 0.3333 0.6667

The following is a DFT calculation (PBE) of an optimized crystal structure of DyPu3Ge4.

Values from the calculation:
E in eV per atom: -8.726
Total moment in μB/cell: 16.32
SG: C2/m

Cell: 5.4089 8.0798 9.0444 Å, 147.55 107.40 90.00°
Fractional positions:
1 Pu 0.7622 0.7813 0.5244
2 Pu 0.0000 0.5000 0.0000
3 Pu 0.2378 0.2187 0.4756
4 Ge 0.6197 0.8631 0.2395
5 Ge 0.3803 0.1369 0.7605
6 Ge 0.8729 0.6234 0.7457
7 Ge 0.1271 0.3766 0.2543
8 Dy 0.5000 0.0000 0.0000

The following is a DFT calculation (PBE) of an optimized crystal structure of Dy4PuGe4.

Values from the calculation:
E in eV per atom: -6.210
Total moment in μB/cell: 10.44
SG: I4/m

Cell: 5.8018 9.2214 9.2214 Å, 90.00 90.00 90.00°
Fractional positions:
1 Dy 0.5000 0.3034 0.9016
2 Dy 0.0000 0.5985 0.8033
3 Dy 0.0000 0.8033 0.4015
4 Dy 0.5000 0.9016 0.6966
5 Dy 0.0000 0.4015 0.1967
6 Dy 0.0000 0.1967 0.5985
7 Dy 0.5000 0.0984 0.3034
8 Dy 0.5000 0.6966 0.0984
9 Ge 0.5000 0.2070 0.6013
10 Ge 0.0000 0.2931 0.8988
11 Ge 0.0000 0.7069 0.1012
12 Ge 0.5000 0.7930 0.3987
13 Ge 0.0000 0.1012 0.2931
14 Ge 0.5000 0.3987 0.2070
15 Ge 0.5000 0.6013 0.7930
16 Ge 0.0000 0.8988 0.7069
17 Pu 0.5000 0.5000 0.5000
18 Pu 0.0000 0.0000 0.0000

The following is a DFT calculation (PBE) of an optimized crystal structure of DyPu2Ge.

Values from the calculation:
Total moment in μB/cell: 11.91
Energy relative to the lowest polymorph listed for this composition in eV/f.u.: 0.000
SG: P4/mmm

Cell: 4.9759 4.3891 4.3891 Å, 90.00 90.00 90.00°
Fractional positions:
1 Pu 0.0000 0.5000 0.0000
2 Pu 0.0000 0.0000 0.5000
3 Dy 0.5000 0.5000 0.5000
4 Ge 0.5000 0.0000 0.0000

The following is a DFT calculation (PBE) of an optimized crystal structure of DyPu2Ge.

Values from the calculation:
Total moment in μB/cell: 11.85
Energy relative to the lowest polymorph listed for this composition in eV/f.u.: 1.304
SG: R-3m

Cell: 3.4717 3.4717 10.5848 Å, 80.56 80.56 60.00°
Fractional positions:
1 Dy 0.5000 0.5000 0.5000
2 Pu 0.7376 0.7376 0.7871
3 Pu 0.2624 0.2624 0.2129
4 Ge 0.0000 0.0000 0.0000

The following is a DFT calculation (PBE) of an optimized crystal structure of Dy2PuGe.

Values from the calculation:
Total moment in μB/cell: 6.50
Energy relative to the lowest polymorph listed for this composition in eV/f.u.: 0.000
SG: P4/mmm

Cell: 4.4464 4.7207 4.7207 Å, 90.00 90.00 90.00°
Fractional positions:
1 Dy 0.0000 0.0000 0.5000
2 Dy 0.0000 0.5000 0.0000
3 Ge 0.5000 0.0000 0.0000
4 Pu 0.5000 0.5000 0.5000

The following is a DFT calculation (PBE) of an optimized crystal structure of Dy5Pu2Ge4.

Values from the calculation:
E in eV per atom: -6.545
Total moment in μB/cell: 0.00
SG: C2/m

Cell: 3.6235 7.3734 10.8117 Å, 84.91 99.65 90.00°
Fractional positions:
1 Dy 0.8218 0.0864 0.6437
2 Dy 0.9206 0.6656 0.8411
3 Dy 0.0794 0.3344 0.1589
4 Dy 0.5000 0.0000 0.0000
5 Dy 0.1782 0.9136 0.3563
6 Pu 0.7691 0.5780 0.5383
7 Pu 0.2309 0.4220 0.4617
8 Ge 0.9473 0.2800 0.8946
9 Ge 0.6343 0.6177 0.2686
10 Ge 0.0527 0.7200 0.1054
11 Ge 0.3657 0.3823 0.7314